4
Lattice="3.588 0.000 0.000 0.000 3.588 0.000 0.000 0.000 4.279" Properties=species:S:1:pos:R:3 comment="PBE-GGA Li2RuRh, optimized geometry" formation_enthalpy_0k_mev_per_atom=159 magmom_total_mub_per_cell=0.00 de_polymorph_mev_per_atom=158 density_g_cm3=6.6 crystal_system=tetragonal pbc="T T T"
Li 0.000 1.794 0.000
Li 1.794 0.000 0.000
Ru 0.000 0.000 2.139
Rh 1.794 1.794 2.139